[1]
The following is a GGA-PBE calculation of K4Tb3GaO8 after structural relaxation, from Alexandria.

Total DFT energy (no corrections) in eV per atom: -6.22
Formation energy without anion corrections in eV per atom: -2.411
Total magnetization in μB/atom: 0.00

a = 11.835 Å, b = 6.828 Å, c = 7.386 Å
α = 90.00°, β = 122.29°, γ = 90.00°
Space group C2/m (No. 12)
Symmetry-distinct sites (fractional):
K1 0.000 0.000 0.000 (multiplicity 2)
K2 0.000 0.500 0.000 (multiplicity 2)
K3 0.250 0.250 0.000 (multiplicity 4)
Tb1 0.000 0.000 0.500 (multiplicity 2)
Tb2 0.250 0.250 0.500 (multiplicity 4)
Ga1 0.000 0.500 0.500 (multiplicity 2)
O1 0.018 0.264 0.317 (multiplicity 8)
O2 0.219 0.500 0.684 (multiplicity 4)
O3 0.229 0.000 0.687 (multiplicity 4)

---

[2]
The following is a GGA-PBE calculation of K2TbGaO4 after structural relaxation, from Alexandria.

Total DFT energy (no corrections) in eV per atom: -5.94
Formation energy without anion corrections in eV per atom: -2.226
Total magnetization in μB/atom: 0.00

a = 5.878 Å, b = 5.878 Å, c = 8.609 Å
α = 90.00°, β = 90.00°, γ = 90.00°
Space group I-4 (No. 82)
Symmetry-distinct sites (fractional):
K1 0.000 0.000 0.000 (multiplicity 2)
K2 0.000 0.500 0.250 (multiplicity 2)
Tb1 0.000 0.000 0.500 (multiplicity 2)
Ga1 0.000 0.500 0.750 (multiplicity 2)
O1 0.148 0.727 0.634 (multiplicity 8)

---

[3]
The following is a GGA-PBE calculation of KGaTc2O8 after structural relaxation, from Alexandria.

Total DFT energy (no corrections) in eV per atom: -6.85
Formation energy without anion corrections in eV per atom: -1.471
Total magnetization in μB/atom: 0.16

a = 5.3964 Å, b = 5.3964 Å, c = 7.8113 Å
α = 90.00°, β = 90.00°, γ = 120.00°
Space group P-3 (No. 147)
Symmetry-distinct sites (fractional):
K1 0.0000 0.0000 0.0000 (multiplicity 1)
Ga1 0.0000 0.0000 0.5000 (multiplicity 1)
Tc1 0.3333 0.6667 0.7233 (multiplicity 2)
O1 0.0548 0.3198 0.6528 (multiplicity 6)
O2 0.3333 0.6667 0.9468 (multiplicity 2)

---

[4]
The following is a GGA-PBE calculation of KGaTe2O6 after structural relaxation, from Alexandria.

Total DFT energy (no corrections) in eV per atom: -5.37
Formation energy without anion corrections in eV per atom: -1.352
Total magnetization in μB/atom: 0.00

a = 9.603 Å, b = 12.574 Å, c = 7.640 Å
α = 90.00°, β = 119.71°, γ = 90.00°
Space group C2/c (No. 15)
Symmetry-distinct sites (fractional):
K1 0.000 0.082 0.250 (multiplicity 4)
Ga1 0.000 0.211 0.750 (multiplicity 4)
Te1 0.146 0.405 0.162 (multiplicity 8)
O1 0.103 0.289 0.983 (multiplicity 8)
O2 0.122 0.118 0.688 (multiplicity 8)
O3 0.159 0.476 0.522 (multiplicity 8)

---

[5]
The following is a GGA-PBE calculation of KGaTe6O14 after structural relaxation, from Alexandria.

Total DFT energy (no corrections) in eV per atom: -5.40
Formation energy without anion corrections in eV per atom: -1.199
Total magnetization in μB/atom: 0.00

a = 11.080 Å, b = 11.080 Å, c = 11.080 Å
α = 90.00°, β = 90.00°, γ = 90.00°
Space group Pa-3 (No. 205)
Symmetry-distinct sites (fractional):
K1 0.000 0.000 0.000 (multiplicity 4)
Ga1 0.000 0.000 0.500 (multiplicity 4)
Te1 0.009 0.235 0.727 (multiplicity 24)
O1 0.069 0.114 0.624 (multiplicity 24)
O2 0.110 0.694 0.378 (multiplicity 24)
O3 0.147 0.147 0.147 (multiplicity 8)

---

[6]
The following is a GGA-PBE calculation of KGaTeO6 after structural relaxation, from Alexandria.

Total DFT energy (no corrections) in eV per atom: -5.17
Formation energy without anion corrections in eV per atom: -1.059
Total magnetization in μB/atom: 0.22

a = 5.2860 Å, b = 5.2860 Å, c = 12.0549 Å
α = 90.00°, β = 90.00°, γ = 120.00°
Space group P-31c (No. 163)
Symmetry-distinct sites (fractional):
K1 0.0000 0.0000 0.0000 (multiplicity 2)
Ga1 0.3333 0.6667 0.2500 (multiplicity 2)
Te1 0.3333 0.6667 0.7500 (multiplicity 2)
O1 0.0092 0.3878 0.6592 (multiplicity 12)

---

[7]
The following is a GGA-PBE calculation of K2TiGaO4 after structural relaxation, from Alexandria.

Total DFT energy (no corrections) in eV per atom: -6.18
Formation energy without anion corrections in eV per atom: -2.060
Total magnetization in μB/atom: 0.10

a = 8.009 Å, b = 7.529 Å, c = 5.761 Å
α = 90.00°, β = 129.30°, γ = 90.00°
Space group C2 (No. 5)
Symmetry-distinct sites (fractional):
K1 0.000 0.000 0.000 (multiplicity 2)
K2 0.000 0.252 0.500 (multiplicity 2)
Ti1 0.000 0.768 0.500 (multiplicity 2)
Ga1 0.000 0.492 0.000 (multiplicity 2)
O1 0.112 0.641 0.851 (multiplicity 4)
O2 0.215 0.914 0.584 (multiplicity 4)

---

[8]
The following is a GGA-PBE calculation of KTiGaO4 after structural relaxation, from Alexandria.

Total DFT energy (no corrections) in eV per atom: -6.78
Formation energy without anion corrections in eV per atom: -2.230
Total magnetization in μB/atom: 0.00

a = 5.459 Å, b = 5.560 Å, c = 6.899 Å
α = 90.00°, β = 102.51°, γ = 90.00°
Space group P2_1/m (No. 11)
Symmetry-distinct sites (fractional):
K1 0.146 0.250 0.093 (multiplicity 2)
Ti1 0.159 0.750 0.477 (multiplicity 2)
Ga1 0.400 0.250 0.660 (multiplicity 2)
O1 0.143 0.020 0.662 (multiplicity 4)
O2 0.264 0.750 0.218 (multiplicity 2)
O3 0.493 0.250 0.415 (multiplicity 2)

---

[9]
The following is a GGA-PBE calculation of KTlGaO4 after structural relaxation, from Alexandria.

Total DFT energy (no corrections) in eV per atom: -4.82
Formation energy without anion corrections in eV per atom: -1.062
Total magnetization in μB/atom: 0.15

a = 5.864 Å, b = 5.803 Å, c = 7.501 Å
α = 90.00°, β = 110.65°, γ = 90.00°
Space group P2_1/m (No. 11)
Symmetry-distinct sites (fractional):
K1 0.200 0.250 0.068 (multiplicity 2)
Tl1 0.153 0.750 0.457 (multiplicity 2)
Ga1 0.412 0.250 0.676 (multiplicity 2)
O1 0.190 0.021 0.690 (multiplicity 4)
O2 0.258 0.750 0.187 (multiplicity 2)
O3 0.439 0.250 0.434 (multiplicity 2)

---

[10]
The following is a GGA-PBE calculation of K2Tl2GaO6 after structural relaxation, from Alexandria.

Total DFT energy (no corrections) in eV per atom: -4.69
Formation energy without anion corrections in eV per atom: -1.082
Total magnetization in μB/atom: 0.10

a = 5.835 Å, b = 9.737 Å, c = 6.664 Å
α = 90.00°, β = 108.15°, γ = 90.00°
Space group C2/m (No. 12)
Symmetry-distinct sites (fractional):
K1 0.000 0.170 0.000 (multiplicity 4)
Tl1 0.000 0.334 0.500 (multiplicity 4)
Ga1 0.000 0.000 0.500 (multiplicity 2)
O1 0.205 0.152 0.681 (multiplicity 8)
O2 0.242 0.000 0.327 (multiplicity 4)

---

[11]
The following is a GGA-PBE calculation of K4Tm3GaO8 after structural relaxation, from Alexandria.

Total DFT energy (no corrections) in eV per atom: -6.26
Formation energy without anion corrections in eV per atom: -2.483
Total magnetization in μB/atom: 0.00

a = 6.6961 Å, b = 6.6961 Å, c = 18.6616 Å
α = 90.00°, β = 90.00°, γ = 120.00°
Space group R-3m (No. 166, hexagonal axes)
Symmetry-distinct sites (fractional):
K1 0.0000 0.0000 0.0000 (multiplicity 3)
K2 0.0000 0.5000 0.0000 (multiplicity 9)
Tm1 0.0000 0.5000 0.5000 (multiplicity 9)
Ga1 0.0000 0.0000 0.5000 (multiplicity 3)
O1 0.0000 0.0000 0.2278 (multiplicity 6)
O2 0.0144 0.5072 0.2270 (multiplicity 18)

---

[12]
The following is a GGA-PBE calculation of K2TmGaO4 after structural relaxation, from Alexandria.

Total DFT energy (no corrections) in eV per atom: -5.63
Formation energy without anion corrections in eV per atom: -1.939
Total magnetization in μB/atom: 0.00

a = 5.499 Å, b = 12.467 Å, c = 21.601 Å
α = 90.00°, β = 90.00°, γ = 90.00°
Space group Fddd (No. 70, origin choice 2)
Symmetry-distinct sites (fractional):
K1 0.125 0.125 0.316 (multiplicity 16)
Tm1 0.125 0.125 0.125 (multiplicity 8)
Ga1 0.125 0.125 0.625 (multiplicity 8)
O1 0.099 0.282 0.834 (multiplicity 32)

---

[13]
The following is a GGA-PBE calculation of K3Tm3GaO8 after structural relaxation, from Alexandria.

Total DFT energy (no corrections) in eV per atom: -6.43
Formation energy without anion corrections in eV per atom: -2.474
Total magnetization in μB/atom: 0.08

a = 6.6808 Å, b = 6.6808 Å, c = 18.7936 Å
α = 90.00°, β = 90.00°, γ = 120.00°
Space group R-3m (No. 166, hexagonal axes)
Symmetry-distinct sites (fractional):
K1 0.0000 0.5000 0.0000 (multiplicity 9)
Tm1 0.0000 0.5000 0.5000 (multiplicity 9)
Ga1 0.0000 0.0000 0.5000 (multiplicity 3)
O1 0.0000 0.0000 0.2268 (multiplicity 6)
O2 0.0225 0.5112 0.2238 (multiplicity 18)

---

[14]
The following is a GGA-PBE calculation of K2UGa2O6 after structural relaxation, from Alexandria.

Total DFT energy (no corrections) in eV per atom: -6.53
Formation energy without anion corrections in eV per atom: -2.047
Total magnetization in μB/atom: 0.17

a = 5.5284 Å, b = 5.5284 Å, c = 6.4224 Å
α = 90.00°, β = 90.00°, γ = 120.00°
Space group P-31m (No. 162)
Symmetry-distinct sites (fractional):
K1 0.3333 0.6667 0.0000 (multiplicity 2)
U1 0.0000 0.0000 0.5000 (multiplicity 1)
Ga1 0.3333 0.6667 0.5000 (multiplicity 2)
O1 0.0000 0.3585 0.6682 (multiplicity 6)

---

[15]
The following is a GGA-PBE calculation of K3UGa2O9 after structural relaxation, from Alexandria.

Total DFT energy (no corrections) in eV per atom: -6.16
Formation energy without anion corrections in eV per atom: -1.805
Total magnetization in μB/atom: 0.21

a = 5.7424 Å, b = 5.7424 Å, c = 7.1120 Å
α = 90.00°, β = 90.00°, γ = 120.00°
Space group P-3m1 (No. 164)
Symmetry-distinct sites (fractional):
K1 0.0000 0.0000 0.0000 (multiplicity 1)
K2 0.3333 0.6667 0.6752 (multiplicity 2)
U1 0.0000 0.0000 0.5000 (multiplicity 1)
Ga1 0.3333 0.6667 0.1615 (multiplicity 2)
O1 0.0000 0.5000 0.0000 (multiplicity 3)
O2 0.1692 0.3385 0.3301 (multiplicity 6)

---

[16]
The following is a GGA-PBE calculation of K2UGaO6 after structural relaxation, from Alexandria.

Total DFT energy (no corrections) in eV per atom: -6.83
Formation energy without anion corrections in eV per atom: -2.204
Total magnetization in μB/atom: 0.11

a = 8.223 Å, b = 8.223 Å, c = 8.223 Å
α = 90.00°, β = 90.00°, γ = 90.00°
Space group Fm-3m (No. 225)
Symmetry-distinct sites (fractional):
K1 0.250 0.250 0.250 (multiplicity 8)
U1 0.000 0.000 0.000 (multiplicity 4)
Ga1 0.000 0.000 0.500 (multiplicity 4)
O1 0.000 0.000 0.253 (multiplicity 24)